Entry 1:
DFT (GGA-PBE) results for an optimized crystal structure of HfSe6O12.

Lattice parameters (Å, degrees): 7.0695 7.0695 7.0695 83.61 83.61 83.61
Fractional coordinates of all 19 atoms:
Hf  0.0000  0.0000  0.0000
Se  0.0424  0.2351  0.5475
Se  0.7649  0.4525  0.9576
Se  0.4525  0.9576  0.7649
Se  0.9576  0.7649  0.4525
Se  0.2351  0.5475  0.0424
Se  0.5475  0.0424  0.2351
O  0.4110  0.1632  0.6295
O  0.1632  0.6295  0.4110
O  0.6295  0.4110  0.1632
O  0.5890  0.8368  0.3705
O  0.8368  0.3705  0.5890
O  0.3705  0.5890  0.8368
O  0.0109  0.0221  0.6997
O  0.3003  0.9891  0.9779
O  0.9779  0.3003  0.9891
O  0.9891  0.9779  0.3003
O  0.6997  0.0109  0.0221
O  0.0221  0.6997  0.0109

Values from the calculation:
Space group = R-3, No. 148
Total moment = 0.00 μB per formula unit

***

Entry 2:
DFT (GGA-PBE) results for an optimized crystal structure of HfSeO2.

Lattice parameters (Å, degrees): 8.8507 8.8507 8.8507 20.48 20.48 20.48
Last column: magnetic moment on the atom in μB.
Fractional coordinates of all 4 atoms:
Hf  0.5000  0.5000  0.5000  0.00
O  0.8719  0.8719  0.8719  0.01
O  0.1281  0.1281  0.1281  0.01
Se  0.0000  0.0000  0.0000  0.27

Values from the calculation:
Space group = R-3m, No. 166
Total moment = 0.44 μB per formula unit

***

Entry 3:
DFT (GGA-PBE) results for an optimized crystal structure of SrHfSe2O8.

Lattice parameters (Å, degrees): 5.0530 5.0530 7.5855 89.10 89.10 76.82
Fractional coordinates of all 12 atoms:
Sr  0.0000  0.0000  0.5000
Hf  0.0000  0.0000  0.0000
Se  0.5937  0.5937  0.2229
Se  0.4063  0.4063  0.7771
O  0.7581  0.1733  0.7898
O  0.7395  0.7395  0.0519
O  0.6909  0.6909  0.4173
O  0.3091  0.3091  0.5827
O  0.2605  0.2605  0.9481
O  0.1733  0.7581  0.7898
O  0.8267  0.2419  0.2102
O  0.2419  0.8267  0.2102

Values from the calculation:
Space group = C2/m, No. 12
Total moment = 0.00 μB per formula unit

***

Entry 4:
DFT (GGA-PBE) results for an optimized crystal structure of HfTaSeO2.

Lattice parameters (Å, degrees): 4.0607 5.0548 4.0607 90.00 90.00 90.00
Fractional coordinates of all 5 atoms:
Hf  0.5000  0.5000  0.5000
O  0.0000  0.0000  0.5000
O  0.5000  0.0000  0.0000
Se  0.0000  0.0000  0.0000
Ta  0.0000  0.5000  0.0000

Values from the calculation:
Space group = P4/mmm, No. 123
Total moment = 0.00 μB per formula unit

***

Number 1: density of states at the Fermi level 8.94 states/eV per cell, E -0.2083 Ha/atom. Number 2: density of states at the Fermi level 1.25 states/eV per cell, E -0.2955 Ha/atom. Number 3: density of states at the Fermi level 2.81 states/eV per cell, E -0.2410 Ha/atom. Number 4: density of states at the Fermi level 4.69 states/eV per cell, E -0.2434 Ha/atom.